# 1
The following is a GGA+U calculation of a geometry-optimized LiWO3 structure, from Alexandria via LeMat-Bulk.

```
LiWO3
1.0
5.587 0.000 0.000
-2.793 4.838 0.000
0.000 0.000 5.279
Li W O
2 2 6
direct
0.000 0.000 0.000
0.000 0.000 0.500
0.667 0.333 0.000
0.667 0.333 0.500
0.351 0.168 0.250
0.351 0.183 0.750
0.817 0.168 0.750
0.817 0.649 0.250
0.832 0.183 0.250
0.832 0.649 0.750
```

The uncorrected energy comes out at -6.632 eV/atom. The total magnetization comes out at 0.05 μB per atom. Its space-group type is P-6c2.

***

# 2
The following is a GGA+U calculation of a geometry-optimized LiWO2 structure, from Alexandria via LeMat-Bulk.

```
LiWO2
1.0
0.000 2.639 2.639
2.639 0.000 2.639
2.639 2.639 0.000
Li W O
1 1 2
direct
0.000 0.000 0.000
0.500 0.500 0.500
0.250 0.250 0.250
0.750 0.750 0.750
```

The uncorrected energy comes out at -5.884 eV/atom. The polymorph energy (0 for the lowest one) comes out at 0.603 eV/atom. The total magnetization comes out at 0.25 μB per atom. Its space-group type is Fm-3m.

***

# 3
The following is a GGA+U calculation of a geometry-optimized LiW2O8 structure, from Alexandria via LeMat-Bulk.

```
LiW2O8
1.0
6.590 0.000 0.000
-3.295 5.707 0.000
0.000 0.000 3.929
Li W O
1 2 8
direct
0.000 0.000 0.000
0.333 0.667 0.741
0.667 0.333 0.259
0.172 0.344 0.763
0.172 0.828 0.763
0.333 0.667 0.252
0.344 0.172 0.237
0.656 0.828 0.763
0.667 0.333 0.748
0.828 0.172 0.237
0.828 0.656 0.237
```

The uncorrected energy comes out at -6.373 eV/atom. The total magnetization comes out at 0.27 μB per atom. Its space-group type is P-3m1.

***

# 4
The following is a GGA+U calculation of a geometry-optimized Li7WO6 structure, from Alexandria via LeMat-Bulk.

```
Li7WO6
1.0
2.801 1.617 4.924
-2.801 1.617 4.924
0.000 -3.234 4.924
Li W O
7 1 6
direct
0.000 0.000 0.000
0.157 0.533 0.928
0.164 0.721 0.419
0.419 0.164 0.721
0.533 0.928 0.157
0.721 0.419 0.164
0.928 0.157 0.533
0.653 0.653 0.653
0.013 0.423 0.768
0.279 0.857 0.578
0.423 0.768 0.013
0.578 0.279 0.857
0.768 0.013 0.423
0.857 0.578 0.279
```

The uncorrected energy comes out at -5.523 eV/atom. The total magnetization comes out at 0.07 μB per atom. Its space-group type is R3.

***

> Look up the total magnetization of the second one.

0.25 μB per atom